Density functional theory data (PBE-GGA) for a relaxed Pr5Tl2Au crystal.

Properties
As for the energy above the lowest structure with this stoichiometry: 0.000 eV per atom. The total moment is 0.51 μB per formula unit. The value obtained for the formation energy is -0.3856 eV/atom. Its uncorrected energy is -4.374 eV per atom. The crystal system is orthorhombic.

The structure in CIF format:
```
data_Pr5Tl2Au
_symmetry_space_group_name_H-M 'P b a m'
_symmetry_Int_Tables_number 55
_symmetry_space_group_name_Hall '-P 2 2ab'
_cell_length_a 7.044
_cell_length_b 13.537
_cell_length_c 5.218
_cell_angle_alpha 90.00
_cell_angle_beta 90.00
_cell_angle_gamma 90.00
loop_
_atom_site_label
_atom_site_fract_x
_atom_site_fract_y
_atom_site_fract_z
Pr1 0.000 0.000 0.000
Pr2 0.109 0.280 0.000
Pr3 0.177 0.596 0.500
Tl1 0.136 0.849 0.500
Au1 0.000 0.500 0.000
```